An optimized crystal structure of CsU2VO8, computed with PBE+U.

Cell lengths 4.593, 4.678, 10.136 Å; angles 84.24, 88.70, 89.28 degrees
Space group P-1 (No. 2)
Inequivalent atoms, fractional coordinates:
Cs1 0.000 0.000 0.000 x1
U1 0.460 0.493 0.676 x2
V1 0.000 0.000 0.500 x1
O1 0.194 0.169 0.660 x2
O2 0.199 0.248 0.340 x2
O3 0.308 0.703 0.494 x2
O4 0.473 0.633 0.143 x2

Values from the calculation:
- Theoretical density: 6.040 g/cm³
- Electronic total energy: -8.479 eV per atom
- Size of the total moment: 2.00 μB/f.u.